Entry 1:
In3HgRh (PBE, optimized geometry); theoretical density = 7.7 g cm⁻³; N(E_F) = 1.5 states/eV per cell; electronic total energy = -16.769 eV for the cell shown; space-group type = Pm-3m, No. 221; energy relative to the elements = -0.1800 eV/atom
1.0
-0.8476 3.6439 -3.5896
2.4794 -2.8899 -3.5190
-4.4739 -2.2919 -1.2701
In Rh Hg
3 1 1
Cartesian
1.2397 -1.4449 -1.7595
-0.4238 1.8219 -1.7948
-2.2370 -1.1459 -0.6350
0.0000 0.0000 0.0000
-1.4211 -0.7689 -4.1893



Entry 2:
In2HgRh (PBE, optimized geometry); theoretical density = 10.9 g cm⁻³; N(E_F) = 1.3 states/eV per cell; electronic total energy = -12.928 eV for the cell shown; space-group type = P2/m, No. 10; energy relative to the elements = 0.0505 eV/atom
1.0
-2.9020 -1.0471 1.2456
-1.1211 -2.0638 -4.3468
1.6772 -5.1007 -0.3802
Hg In Rh
1 2 1
Cartesian
0.2780 -3.5822 -2.3635
-0.6124 -3.0739 0.4327
0.0000 0.0000 0.0000
-2.0116 -1.5554 -1.5506



Entry 3:
InHg2Rh (PBE, optimized geometry); theoretical density = 11.9 g cm⁻³; N(E_F) = 2.3 states/eV per cell; electronic total energy = -10.396 eV for the cell shown; space-group type = R3m, No. 160; energy relative to the elements = 0.0745 eV/atom
1.0
-4.4222 -2.3074 -7.6752
-3.1641 -5.2646 -6.7868
-6.0305 -4.2040 -5.4541
Hg In Rh
2 1 1
Cartesian
-10.2248 -8.8425 -14.9549
-13.5022 -11.6769 -19.7486
-6.9471 -6.0080 -10.1610
-3.3678 -2.9125 -4.9258



Entry 4:
InHg2Rh (PBE, optimized geometry); theoretical density = 7.9 g cm⁻³; N(E_F) = 3.9 states/eV per cell; electronic total energy = -16.642 eV for the cell shown; space-group type = I-42d, No. 122; energy relative to the elements = 0.5931 eV/atom
1.0
-1.2612 6.0740 -1.7058
-4.3977 0.4010 4.6791
1.5975 5.2761 5.4726
In Rh Hg
2 2 4
Cartesian
-1.2466 7.2938 2.6267
0.0000 0.0000 0.0000
-2.8148 4.4573 5.8191
-2.8294 3.2375 1.4866
-0.8827 4.8964 0.9624
-1.1187 6.4029 5.4266
-3.5587 9.6049 6.4988
-2.5627 2.5978 4.0038



Entry 5:
In4HgRh5 (PBE, optimized geometry); theoretical density = 11.5 g cm⁻³; N(E_F) = 3.9 states/eV per cell; electronic total energy = -51.300 eV for the cell shown; space-group type = P4/mmm, No. 123; energy relative to the elements = -0.3287 eV/atom
1.0
3.2416 0.0000 0.0000
0.0000 3.2416 0.0000
0.0000 0.0000 16.1921
Rh In Hg
5 4 1
Cartesian
1.6208 1.6208 4.8955
1.6208 1.6208 1.7267
1.6208 1.6208 11.2966
1.6208 1.6208 14.4653
1.6208 1.6208 8.0960
0.0000 0.0000 6.4825
0.0000 0.0000 3.2412
0.0000 0.0000 9.7095
0.0000 0.0000 12.9509
0.0000 0.0000 0.0000



Entry 6:
In2HgRh (PBE, optimized geometry); theoretical density = 10.0 g cm⁻³; N(E_F) = 4.0 states/eV per cell; electronic total energy = -24.916 eV for the cell shown; space-group type = I-42d, No. 122; energy relative to the elements = 0.1681 eV/atom
1.0
4.2980 0.0000 0.0000
0.0000 4.2980 0.0000
2.1490 2.1490 9.6322
Hg In Rh
2 4 2
Cartesian
4.2980 2.1490 4.8161
0.0000 0.0000 0.0000
3.1310 1.0745 2.4080
3.2235 3.3160 7.2241
5.3725 5.2800 7.2241
1.1670 3.2235 2.4080
2.1490 2.1490 0.0000
2.1490 4.2980 4.8161



Entry 7:
InHg2Rh (PBE, optimized geometry); theoretical density = 12.7 g cm⁻³; N(E_F) = 1.7 states/eV per cell; electronic total energy = -10.463 eV for the cell shown; space-group type = Pmm2, No. 25; energy relative to the elements = 0.0576 eV/atom
1.0
-3.1893 -0.7994 -0.7813
0.0179 -2.6977 2.6869
-2.0855 4.1924 4.2231
Rh Hg In
1 2 1
Cartesian
-3.0977 1.2910 4.0146
-2.1032 -0.7081 2.0009
-2.0658 4.1528 4.1832
-1.1184 2.2482 2.2647



Entry 8:
In4HgRh (PBE, optimized geometry); theoretical density = 9.0 g cm⁻³; N(E_F) = 5.0 states/eV per cell; electronic total energy = -39.034 eV for the cell shown; space-group type = C2/c, No. 15; energy relative to the elements = -0.1517 eV/atom
1.0
-4.0904 -4.2553 -0.0145
4.1257 -3.1856 4.6051
-3.2200 3.8747 4.7952
Rh In Hg
2 8 2
Cartesian
-6.2764 0.6723 4.7841
3.0917 -4.2385 4.6017
-5.7658 -1.8235 3.7749
-2.7622 -1.4715 2.1902
0.7427 -0.7468 2.1596
0.5515 -3.8021 3.6716
-3.7363 0.2358 5.7142
2.5811 -1.7427 5.6109
-0.4226 -2.0948 7.1956
-3.9274 -2.8195 7.2262
-2.2579 -3.1901 4.6800
-0.9268 -0.3761 4.7058



Entry 9:
InHg2Rh (PBE, optimized geometry); theoretical density = 12.0 g cm⁻³; N(E_F) = 1.6 states/eV per cell; electronic total energy = -10.691 eV for the cell shown; space-group type = P4mm, No. 99; energy relative to the elements = 0.0006 eV/atom
1.0
-2.4505 -0.8271 1.7395
0.8524 -2.9900 -0.2209
4.8710 0.8517 7.2668
Rh Hg In
1 2 1
Cartesian
2.7981 -1.2796 6.1257
0.4310 -1.6935 2.5944
4.6525 0.8135 6.9409
2.6976 0.4717 4.0245



Entry 10:
In2HgRh (PBE, optimized geometry); theoretical density = 11.0 g cm⁻³; N(E_F) = 1.2 states/eV per cell; electronic total energy = -13.030 eV for the cell shown; space-group type = Cmmm, No. 65; energy relative to the elements = 0.0250 eV/atom
1.0
2.5192 3.8816 1.9465
-3.6745 -0.9355 3.2901
1.9806 -2.0959 1.6161
In Rh Hg
2 1 1
Cartesian
-1.8373 -0.4677 1.6451
1.2596 1.9408 0.9732
0.9903 -1.0479 0.8081
0.4127 0.4251 3.4264



Entry 11:
InHg2Rh (PBE, optimized geometry); theoretical density = 13.1 g cm⁻³; N(E_F) = 2.8 states/eV per cell; electronic total energy = -10.183 eV for the cell shown; space-group type = P4/mmm, No. 123; energy relative to the elements = 0.1276 eV/atom
1.0
4.1763 0.0000 0.0000
0.0000 4.1763 0.0000
0.0000 0.0000 4.5043
In Hg Rh
1 2 1
Cartesian
2.0882 2.0882 2.2521
2.0882 0.0000 0.0000
0.0000 2.0882 0.0000
0.0000 0.0000 2.2521



Entry 12:
In2HgRh (PBE, optimized geometry); theoretical density = 10.2 g cm⁻³; N(E_F) = 2.3 states/eV per cell; electronic total energy = -13.792 eV for the cell shown; space-group type = P2/m, No. 10; energy relative to the elements = -0.1654 eV/atom
1.0
-1.4970 -0.5016 2.6930
-2.0186 -1.9585 -1.4868
5.0601 -6.9649 1.5155
In Rh Hg
2 1 1
Cartesian
2.5614 -5.7810 0.3471
0.4801 -3.1424 -0.3184
1.7816 -3.7332 2.1043
-1.7578 -1.2300 0.6031



Entry 13:
InHg3Rh (PBE, optimized geometry); theoretical density = 9.3 g cm⁻³; N(E_F) = 1.9 states/eV per cell; electronic total energy = -10.131 eV for the cell shown; space-group type = Pm-3m, No. 221; energy relative to the elements = 0.1728 eV/atom
1.0
5.2606 0.0000 0.0000
0.0000 5.2606 0.0000
0.0000 0.0000 5.2606
Rh In Hg
1 1 3
Cartesian
0.0000 0.0000 0.0000
2.6303 2.6303 2.6303
0.0000 2.6303 0.0000
0.0000 0.0000 2.6303
2.6303 0.0000 0.0000



Entry 14:
InHg2Rh (PBE, optimized geometry); theoretical density = 11.5 g cm⁻³; N(E_F) = 1.7 states/eV per cell; electronic total energy = -10.997 eV for the cell shown; space-group type = Immm, No. 71; energy relative to the elements = -0.0760 eV/atom
1.0
2.5096 -6.5462 -1.0605
0.9936 -5.7073 4.0884
-3.7744 5.1682 -3.0527
In Rh Hg
1 1 2
Cartesian
-1.3904 -0.2695 0.5178
-0.6324 -0.6890 -2.0566
2.4032 -8.4061 2.0772
1.0999 -3.8473 0.9507



Entry 15:
InHg2Rh (PBE, optimized geometry); theoretical density = 12.9 g cm⁻³; N(E_F) = 1.6 states/eV per cell; electronic total energy = -10.387 eV for the cell shown; space-group type = Imm2, No. 44; energy relative to the elements = 0.0767 eV/atom
1.0
-1.9729 2.1897 4.6049
1.9729 -2.1897 4.6049
1.9729 2.1897 -4.6049
In Hg Rh
1 2 1
Cartesian
0.0000 0.0000 4.4326
0.0000 2.1897 2.2542
0.0000 0.0000 0.1143
1.9729 0.0000 2.4086



Entry 16:
InHg2Rh (PBE, optimized geometry); theoretical density = 12.9 g cm⁻³; N(E_F) = 3.0 states/eV per cell; electronic total energy = -9.938 eV for the cell shown; space-group type = F-43m, No. 216; energy relative to the elements = 0.1889 eV/atom
1.0
0.0000 3.4111 3.4111
3.4111 0.0000 3.4111
3.4111 3.4111 0.0000
In Rh Hg
1 1 2
Cartesian
3.4111 3.4111 3.4111
5.1166 5.1166 5.1166
1.7055 1.7055 1.7055
0.0000 0.0000 0.0000



Entry 17:
In2HgRh (PBE, optimized geometry); theoretical density = 9.9 g cm⁻³; N(E_F) = 1.5 states/eV per cell; electronic total energy = -13.739 eV for the cell shown; space-group type = Imm2, No. 44; energy relative to the elements = -0.1523 eV/atom
1.0
-1.5184 2.2492 6.5374
1.5184 -2.2492 6.5374
1.5184 2.2492 -6.5374
Hg In Rh
1 2 1
Cartesian
0.0000 2.2492 2.4430
0.0000 0.0000 0.0904
1.5184 0.0000 4.1083
0.0000 0.0000 6.4332



Entry 18:
InHg2Rh (PBE, optimized geometry); theoretical density = 13.0 g cm⁻³; N(E_F) = 1.1 states/eV per cell; electronic total energy = -10.473 eV for the cell shown; space-group type = I4/mmm, No. 139; energy relative to the elements = 0.0552 eV/atom
1.0
-1.1454 -0.3853 5.3804
-5.2846 0.6146 1.4506
2.8030 -2.9675 -3.7075
Rh In Hg
1 1 2
Cartesian
0.0000 0.0000 0.0000
-3.2150 0.1146 3.4155
-0.7787 -1.6191 2.5442
-2.8483 -1.1191 0.5793



Entry 19:
In2HgRh (PBE, optimized geometry); theoretical density = 10.2 g cm⁻³; N(E_F) = 2.1 states/eV per cell; electronic total energy = -13.445 eV for the cell shown; space-group type = R-3m, No. 166; energy relative to the elements = -0.0788 eV/atom
1.0
-2.1804 -1.5305 -8.6603
0.7605 -3.1673 -8.4550
-2.0856 -4.6841 -7.4704
In Rh Hg
2 1 1
Cartesian
-0.8367 -2.2393 -5.8681
-2.6689 -7.1426 -18.7177
-1.7528 -4.6910 -12.2929
0.0000 0.0000 0.0000



Entry 20:
In2HgRh (PBE, optimized geometry); theoretical density = 10.4 g cm⁻³; N(E_F) = 2.1 states/eV per cell; electronic total energy = -13.595 eV for the cell shown; space-group type = P4/mmm, No. 123; energy relative to the elements = -0.1162 eV/atom
1.0
-1.2862 1.2828 2.5812
0.4959 -2.6858 1.5819
7.7008 2.8484 2.4218
Hg In Rh
1 2 1
Cartesian
3.4553 0.7226 3.2925
6.1403 2.2712 1.9311
1.5605 0.5772 0.4908
-0.3951 -0.7015 2.0815